#a
Material: HoTh2Ir
Method: DFT, GGA-PBE
State: relaxed

```
HoTh2Ir
1.0
3.877 0.000 0.000
1.939 3.358 0.000
1.939 1.119 10.289
Th Ho Ir
2 1 1
direct
0.889 0.889 0.333
0.111 0.111 0.667
0.000 0.000 0.000
0.500 0.500 0.500
```

Space-group type: No. 166
Total magnetization in Bohr magnetons per cell: 0.0


#b
Material: HoTh2Ir
Method: DFT, GGA-PBE
State: relaxed

```
HoTh2Ir
1.0
3.825 -0.151 0.000
-1.674 5.904 0.000
0.000 0.000 10.077
Th Ho Ir
4 2 2
direct
0.862 0.724 0.560
0.862 0.724 0.940
0.138 0.276 0.440
0.138 0.276 0.060
0.416 0.832 0.250
0.584 0.168 0.750
0.287 0.574 0.750
0.713 0.426 0.250
```

Space-group type: No. 11
Total magnetization in Bohr magnetons per cell: 0.0


Energies, relative to the best one, in meV/atom: #a 407; #b 0.


#a
Material: HoTiIr2
Method: DFT, GGA-PBE
State: relaxed

```
HoTiIr2
1.0
-2.757 1.405 -0.103
0.067 -0.094 -3.094
-3.288 -6.441 0.124
Ho Ir Ti
1 2 1
direct
0.500 0.500 0.500
0.000 0.000 0.788
0.000 0.000 0.212
0.500 0.500 0.000
```

Space-group type: No. 123
Total magnetization in Bohr magnetons per cell: 0.0


#b
Material: HoTiIr2
Method: DFT, GGA-PBE
State: relaxed

```
HoTiIr2
1.0
-4.431 1.159 0.623
-3.320 -3.163 -0.581
-2.319 -1.615 3.658
Ti Ir Ho
1 2 1
direct
0.000 0.000 0.000
0.750 0.750 0.750
0.250 0.250 0.250
0.500 0.500 0.500
```

Space-group type: No. 225
Total magnetization in Bohr magnetons per cell: 0.0


Energies, relative to the best one, in meV/atom: #a 0; #b 139.


#a
Material: Ho2TlIr
Method: DFT, GGA-PBE
State: relaxed

```
Ho2TlIr
1.0
-0.634 3.964 -0.063
-2.602 1.658 2.568
4.726 2.886 6.063
Ho Tl Ir
2 1 1
direct
0.063 0.063 0.811
0.270 0.270 0.189
0.501 0.501 0.498
0.666 0.666 0.002
```

Space-group type: No. 160
Total magnetization in Bohr magnetons per cell: 0.0


#b
Material: Ho2TlIr
Method: DFT, GGA-PBE
State: relaxed

```
Ho2TlIr
1.0
3.958 0.000 0.000
1.979 3.428 0.000
1.979 1.143 9.499
Ho Tl Ir
2 1 1
direct
0.115 0.115 0.656
0.885 0.885 0.344
0.000 0.000 0.000
0.500 0.500 0.500
```

Space-group type: No. 166
Total magnetization in Bohr magnetons per cell: 0.0


#c
Material: Ho2TlIr
Method: DFT, GGA-PBE
State: relaxed

```
Ho2TlIr
1.0
-1.845 2.622 -1.434
-2.082 -2.337 -1.595
-4.660 0.026 6.043
Tl Ir Ho
1 1 2
direct
0.500 0.500 0.500
0.500 0.500 0.000
0.000 0.000 0.787
0.000 0.000 0.213
```

Space-group type: No. 123
Total magnetization in Bohr magnetons per cell: 0.0


Energies, relative to the best one, in meV/atom: #a 95; #b 230; #c 0.


#a
Material: Ho4TlIr
Method: DFT, GGA-PBE
State: relaxed

```
Ho4TlIr
1.0
8.346 0.000 4.819
2.782 7.869 4.819
0.000 0.000 9.638
Ho Tl Ir
16 4 4
direct
0.559 0.941 0.559
0.559 0.941 0.941
0.401 0.797 0.401
0.191 0.809 0.809
0.809 0.191 0.809
0.191 0.809 0.191
0.559 0.559 0.941
0.191 0.191 0.809
0.941 0.559 0.559
0.401 0.401 0.401
0.941 0.941 0.559
0.809 0.191 0.191
0.809 0.809 0.191
0.941 0.559 0.941
0.797 0.401 0.401
0.401 0.401 0.797
0.508 0.164 0.164
0.164 0.508 0.164
0.164 0.164 0.508
0.164 0.164 0.164
0.609 0.609 0.609
0.174 0.609 0.609
0.609 0.174 0.609
0.609 0.609 0.174
```

Space-group type: No. 216
Total magnetization in Bohr magnetons per cell: 0.0


#b
Material: Ho4TlIr
Method: DFT, GGA-PBE
State: relaxed

```
Ho4TlIr
1.0
6.850 0.000 -0.040
0.000 6.995 0.000
-0.127 0.000 7.532
Ho Ir Tl
8 2 2
direct
0.831 0.158 0.364
0.331 0.342 0.364
0.622 0.140 0.812
0.878 0.640 0.188
0.669 0.658 0.636
0.378 0.860 0.188
0.122 0.360 0.812
0.169 0.842 0.636
0.000 0.500 0.500
0.500 0.000 0.500
0.000 0.000 0.000
0.500 0.500 0.000
```

Space-group type: No. 14
Total magnetization in Bohr magnetons per cell: 0.0


Energies, relative to the best one, in meV/atom: #a 0; #b 192.


#a
Material: Ho8Tl2Ir3
Method: DFT, GGA-PBE
State: relaxed

```
Ho8Tl2Ir3
1.0
6.756 0.000 0.037
0.000 7.607 0.000
-2.697 -3.803 7.664
Ir Ho Tl
3 8 2
direct
0.000 0.300 0.000
0.000 0.700 0.000
0.500 0.000 0.000
0.595 0.649 0.808
0.035 0.364 0.727
0.595 0.159 0.808
0.920 0.089 0.178
0.405 0.841 0.192
0.405 0.351 0.192
0.965 0.636 0.273
0.080 0.911 0.822
0.646 0.752 0.504
0.354 0.248 0.496
```

Space-group type: No. 12
Total magnetization in Bohr magnetons per cell: 0.0


#b
Material: Ho8Tl2Ir3
Method: DFT, GGA-PBE
State: relaxed

```
Ho8Tl2Ir3
1.0
-2.278 1.718 3.992
-4.761 -8.550 0.962
7.792 1.730 3.702
Ho Ir Tl
8 3 2
direct
0.000 0.611 0.221
0.500 0.643 0.776
0.500 0.357 0.224
0.000 0.114 0.228
0.000 0.389 0.779
0.500 0.867 0.224
0.000 0.886 0.772
0.500 0.133 0.776
0.500 0.000 0.000
0.000 0.253 0.000
0.000 0.747 0.000
0.500 0.743 0.486
0.500 0.257 0.514
```

Space-group type: No. 10
Total magnetization in Bohr magnetons per cell: 0.0


Energies, relative to the best one, in meV/atom: #a 73; #b 0.


#a
Material: Ho3TlIr
Method: DFT, GGA-PBE
State: relaxed

```
Ho3TlIr
1.0
5.517 0.000 0.000
-2.758 6.031 -0.916
0.000 -2.316 8.694
Ho Ir Tl
6 2 2
direct
0.614 0.228 0.899
0.105 0.209 0.219
0.838 0.676 0.343
0.162 0.324 0.657
0.895 0.791 0.781
0.386 0.772 0.101
0.140 0.279 0.940
0.860 0.721 0.060
0.384 0.768 0.541
0.616 0.232 0.459
```

Space-group type: No. 12
Total magnetization in Bohr magnetons per cell: 0.0


#b
Material: Ho3TlIr
Method: DFT, GGA-PBE
State: relaxed

```
Ho3TlIr
1.0
-3.334 1.846 2.896
-2.400 -6.683 1.497
9.577 -0.849 11.567
Tl Ho Ir
4 12 4
direct
0.250 0.080 0.179
0.750 0.420 0.679
0.250 0.580 0.321
0.750 0.920 0.821
0.250 0.695 0.723
0.750 0.487 0.902
0.750 0.987 0.598
0.750 0.305 0.277
0.250 0.195 0.777
0.750 0.634 0.457
0.750 0.134 0.043
0.750 0.805 0.223
0.250 0.513 0.098
0.250 0.866 0.957
0.250 0.013 0.402
0.250 0.366 0.543
0.750 0.731 0.045
0.750 0.231 0.455
0.250 0.769 0.545
0.250 0.269 0.955
```

Space-group type: No. 62
Total magnetization in Bohr magnetons per cell: 0.0


Energies, relative to the best one, in meV/atom: #a 89; #b 0.